Entry from Alexandria via LeMat-Bulk: an optimized crystal structure of LaSiNi3 (PBE).

## Properties
Symmetry: Pm-3m (221)
VASP energy: -5.8366 eV per atom
V: 17.059 A^3/atom
Formation energy (no corrections): -0.2977 eV per atom
Polymorph energy (0 for the lowest one): 115 meV per atom

```
5
Lattice="-2.938 2.873 -1.579 -3.064 -1.651 2.696 1.167 2.898 3.101" Properties=species:S:1:pos:R:3 pbc="T T T"
Ni -1.469 1.436 -0.790
Ni 0.584 1.449 1.551
Ni -1.532 -0.825 1.348
Si 0.000 0.000 0.000
La -2.417 2.060 2.109
```

***

Entry from Alexandria via LeMat-Bulk: an optimized crystal structure of La2Si3Ni2 (PBE).

## Properties
Symmetry: Cmcm (63)
VASP energy: -6.0496 eV per atom
V: 18.731 A^3/atom
Formation energy (no corrections): -0.6658 eV per atom
Polymorph energy (0 for the lowest one): 0 meV per atom

```
14
Lattice="-1.461 2.567 -3.172 -5.891 0.628 3.221 3.880 5.896 5.946" Properties=species:S:1:pos:R:3 pbc="T T T"
Si -2.720 6.874 6.815
Si -0.752 2.218 -0.820
Si -2.873 2.444 0.340
Si -0.464 5.406 1.627
Si -3.008 3.686 4.368
Si -0.598 6.648 5.655
La -4.078 1.247 2.887
La 0.606 7.845 3.108
La -0.466 2.453 2.199
La -3.006 6.639 3.795
Ni -0.710 4.662 4.100
Ni 1.609 4.415 2.832
Ni -5.080 4.677 3.163
Ni -2.762 4.430 1.895
```